Below is Mn2AuI after structural relaxation, with properties calculated at the PBE level.

Output
The symmetry is Cm, No. 8.

The structure in CIF format:
```
data_Mn2AuI
_space_group_name_H-M_alt 'P 1'
_space_group_IT_number 1
_space_group_name_Hall 'P 1'
_cell_length_a 7.434
_cell_length_b 7.434
_cell_length_c 3.608
_cell_angle_alpha 103.37
_cell_angle_beta 103.37
_cell_angle_gamma 31.03
loop_
_atom_site_label
_atom_site_type_symbol
_atom_site_fract_x
_atom_site_fract_y
_atom_site_fract_z
Mn1 Mn 0.000 0.000 0.000
Mn2 Mn 0.166 0.166 0.644
Au1 Au 0.626 0.626 0.105
I1 I 0.363 0.363 0.994
```



Below is Pm8NiIr3I4 after structural relaxation, with properties calculated at the PBE level.

Output
The symmetry is R-3m, No. 166.

The structure in CIF format:
```
data_Pm8NiIr3I4
_space_group_name_H-M_alt 'P 1'
_space_group_IT_number 1
_space_group_name_Hall 'P 1'
_cell_length_a 9.395
_cell_length_b 9.395
_cell_length_c 9.395
_cell_angle_alpha 52.78
_cell_angle_beta 52.78
_cell_angle_gamma 52.78
loop_
_atom_site_label
_atom_site_type_symbol
_atom_site_fract_x
_atom_site_fract_y
_atom_site_fract_z
Pm1 Pm 0.228 0.228 0.228
Pm2 Pm 0.229 0.727 0.727
Pm3 Pm 0.273 0.273 0.771
Pm4 Pm 0.273 0.771 0.273
Pm5 Pm 0.727 0.229 0.727
Pm6 Pm 0.727 0.727 0.229
Pm7 Pm 0.771 0.273 0.273
Pm8 Pm 0.772 0.772 0.772
Ni1 Ni 0.500 0.500 0.500
Ir1 Ir 0.000 0.000 0.500
Ir2 Ir 0.000 0.500 0.000
Ir3 Ir 0.500 0.000 0.000
I1 I 0.000 0.000 0.000
I2 I 0.000 0.500 0.500
I3 I 0.500 0.000 0.500
I4 I 0.500 0.500 0.000
```



Below is IrAuBr2 after structural relaxation, with properties calculated at the PBE level.

Output
The symmetry is Pm, No. 6.

The structure in CIF format:
```
data_IrAuBr2
_space_group_name_H-M_alt 'P 1'
_space_group_IT_number 1
_space_group_name_Hall 'P 1'
_cell_length_a 4.098
_cell_length_b 3.443
_cell_length_c 7.531
_cell_angle_alpha 90.00
_cell_angle_beta 105.62
_cell_angle_gamma 90.00
loop_
_atom_site_label
_atom_site_type_symbol
_atom_site_fract_x
_atom_site_fract_y
_atom_site_fract_z
Ir1 Ir 0.000 0.000 0.000
Au1 Au 0.459 0.500 0.917
Br1 Br 0.123 0.500 0.249
Br2 Br 0.832 0.000 0.661
```



What are the magnetic moment values for these records? In order: 2.159; 0.000; 0.000 μB/atom.
What are the total DFT energy (no corrections) values for these records? In order: -5.53; -5.69; -3.59 eV per atom.
What are the ρ values for these records? In order: 7.22; 7.85; 8.91 g cm⁻³.